This record from Alexandria describes an optimized crystal structure of Ac2ErCoO6. The functional is GGA+U.

Final energy in eV/atom: -7.569
M_tot in μB per cell: 0.2

a = 5.802 Å, b = 5.764 Å, c = 9.967 Å
α = 90.00°, β = 124.96°, γ = 90.00°
Space group P2_1/c (No. 14)
Inequivalent atoms, fractional coordinates:
Ac  0.241  0.024  0.248 x4
Er  0.500  0.000  0.000 x2
Co  0.000  0.000  0.500 x2
O  0.170  0.237  0.961 x4
O  0.220  0.712  0.961 x4
O  0.306  0.012  0.735 x4